[1]
Mn2RuPt2 PBE relaxed; energy above the most stable polymorph in this dataset = 0.000 eV/atom; raw total energy = -77.3 eV per cell; space-group type = P4/mbm, No. 127; total moment = 2.04 μB per formula unit; ΔE_f = 205.0 meV/atom
1.0
-4.275 4.576 -1.449
-0.779 -2.576 -5.837
-2.505 -1.960 1.199
Ru Mn Pt
2 4 4
direct
0.000 0.000 0.000 Ru
0.500 0.500 0.000 Ru
0.384 0.884 0.000 Mn
0.884 0.616 0.000 Mn
0.616 0.116 0.000 Mn
0.116 0.384 0.000 Mn
0.181 0.681 0.500 Pt
0.681 0.819 0.500 Pt
0.819 0.319 0.500 Pt
0.319 0.181 0.500 Pt


[2]
MnRuPt2 PBE relaxed; raw total energy = -30.9 eV per cell; space-group type = Pmm2, No. 25; total moment = 2.29 μB per formula unit; ΔE_f = -99.0 meV/atom
1.0
2.761 0.000 0.000
0.000 3.814 0.000
0.000 0.000 5.568
Mn Pt Ru
1 2 1
direct
0.500 0.500 0.744 Mn
0.000 0.000 0.988 Pt
0.500 0.500 0.262 Pt
0.000 0.000 0.506 Ru


[3]
Mn4RuPt2 PBE relaxed; raw total energy = -53.3 eV per cell; space-group type = I4/mmm, No. 139; total moment = 14.19 μB per formula unit; ΔE_f = 679.1 meV/atom
1.0
-4.056 -0.628 1.786
-1.665 -0.828 -4.072
-1.555 -7.033 -0.395
Ru Mn Pt
1 4 2
direct
0.000 0.000 0.000 Ru
0.805 0.805 0.390 Mn
0.195 0.195 0.610 Mn
0.000 0.500 0.000 Mn
0.500 0.000 0.000 Mn
0.610 0.610 0.780 Pt
0.390 0.390 0.220 Pt


[4]
MnRu4Pt PBE relaxed; raw total energy = -49.4 eV per cell; space-group type = F-43m, No. 216; total moment = 1.28 μB per formula unit; ΔE_f = 493.2 meV/atom
1.0
0.000 3.585 3.585
3.585 0.000 3.585
3.585 3.585 0.000
Mn Ru Pt
1 4 1
direct
0.250 0.250 0.250 Mn
0.625 0.625 0.124 Ru
0.625 0.124 0.625 Ru
0.625 0.625 0.625 Ru
0.124 0.625 0.625 Ru
0.000 0.000 0.000 Pt


[5]
MnRuPt2 PBE relaxed; raw total energy = -53.1 eV per cell; space-group type = I-42d, No. 122; total moment = 0.00 μB per formula unit; ΔE_f = 992.2 meV/atom
1.0
-2.603 -2.329 -4.209
-2.180 -3.694 3.393
-6.681 0.281 0.422
Ru Mn Pt
2 2 4
direct
0.000 0.000 0.000 Ru
0.750 0.250 0.500 Ru
0.500 0.500 0.000 Mn
0.250 0.750 0.500 Mn
0.606 0.125 0.250 Pt
0.144 0.625 0.250 Pt
0.375 0.394 0.750 Pt
0.875 0.856 0.750 Pt


[6]
MnRuPt2 PBE relaxed; raw total energy = -31.0 eV per cell; space-group type = Cm, No. 8; total moment = 3.27 μB per formula unit; ΔE_f = -121.7 meV/atom
1.0
-3.266 2.208 2.665
-4.282 2.073 0.090
-2.726 -3.682 1.268
Mn Pt Ru
1 2 1
direct
0.245 0.245 0.249 Mn
0.994 0.994 0.013 Pt
0.754 0.754 0.735 Pt
0.507 0.507 0.503 Ru


[7]
Mn2RuPt2 PBE relaxed; energy above the most stable polymorph in this dataset = 0.077 eV/atom; raw total energy = -76.6 eV per cell; space-group type = P4/mbm, No. 127; total moment = 0.01 μB per formula unit; ΔE_f = 281.9 meV/atom
1.0
7.252 0.000 0.000
0.000 7.252 0.000
0.000 0.000 2.660
Ru Mn Pt
2 4 4
direct
0.000 0.000 0.000 Ru
0.500 0.500 0.000 Ru
0.169 0.669 0.500 Mn
0.669 0.831 0.500 Mn
0.831 0.331 0.500 Mn
0.331 0.169 0.500 Mn
0.370 0.870 0.000 Pt
0.870 0.630 0.000 Pt
0.630 0.130 0.000 Pt
0.130 0.370 0.000 Pt


[8]
MnRuPt2 PBE relaxed; raw total energy = -31.2 eV per cell; space-group type = I4/mmm, No. 139; total moment = 2.90 μB per formula unit; ΔE_f = -159.6 meV/atom
1.0
-2.602 1.798 -3.579
0.566 -2.616 -3.956
-1.081 -1.161 4.505
Mn Pt Ru
1 2 1
direct
0.250 0.750 0.500 Mn
0.000 0.000 0.000 Pt
0.500 0.500 0.000 Pt
0.750 0.250 0.500 Ru


[9]
MnRuPt2 PBE relaxed; raw total energy = -30.8 eV per cell; space-group type = R3m, No. 160; total moment = 2.65 μB per formula unit; ΔE_f = -66.0 meV/atom
1.0
-8.068 -0.853 -3.883
-8.578 -2.223 -1.539
-8.832 0.526 -1.615
Mn Pt Ru
1 2 1
direct
0.753 0.753 0.753 Mn
0.006 0.006 0.006 Pt
0.248 0.248 0.248 Pt
0.494 0.494 0.494 Ru


[10]
MnRuPt2 PBE relaxed; raw total energy = -31.1 eV per cell; space-group type = Cmmm, No. 65; total moment = 4.10 μB per formula unit; ΔE_f = -155.5 meV/atom
1.0
4.753 0.032 0.000
-1.639 4.461 0.000
0.000 0.000 2.775
Mn Pt Ru
1 2 1
direct
0.000 0.500 0.500 Mn
0.000 0.000 0.000 Pt
0.500 0.500 0.000 Pt
0.500 0.000 0.500 Ru


[11]
MnRuPt4 PBE relaxed; raw total energy = -41.1 eV per cell; space-group type = F-43m, No. 216; total moment = 6.93 μB per formula unit; ΔE_f = 243.3 meV/atom
1.0
0.000 3.694 3.694
3.694 0.000 3.694
3.694 3.694 0.000
Mn Ru Pt
1 1 4
direct
0.000 0.000 0.000 Mn
0.750 0.750 0.750 Ru
0.875 0.375 0.375 Pt
0.375 0.375 0.875 Pt
0.375 0.875 0.375 Pt
0.375 0.375 0.375 Pt


[12]
Mn6RuPt PBE relaxed; raw total energy = -71.2 eV per cell; space-group type = P4/mmm, No. 123; total moment = 3.13 μB per formula unit; ΔE_f = -112.8 meV/atom
1.0
3.708 0.000 0.000
0.000 3.708 0.000
0.000 0.000 7.409
Mn Ru Pt
6 1 1
direct
0.500 0.500 0.000 Mn
0.500 0.500 0.500 Mn
0.500 0.000 0.255 Mn
0.500 0.000 0.745 Mn
0.000 0.500 0.255 Mn
0.000 0.500 0.745 Mn
0.000 0.000 0.500 Ru
0.000 0.000 0.000 Pt


[13]
MnRuPt2 PBE relaxed; raw total energy = -30.7 eV per cell; space-group type = R-3m, No. 166; total moment = 4.08 μB per formula unit; ΔE_f = -42.1 meV/atom
1.0
9.044 -0.006 -0.003
8.622 2.731 -0.003
8.622 1.330 2.386
Mn Pt Ru
1 2 1
direct
0.750 0.750 0.750 Mn
0.002 0.002 0.002 Pt
0.498 0.498 0.498 Pt
0.250 0.250 0.250 Ru


[14]
MnSbRuPt PBE relaxed; raw total energy = -28.8 eV per cell; space-group type = F-43m, No. 216; energy relative to the elements, uncorrected = -0.054 eV per atom; total moment = 5.00 μB per formula unit
1.0
4.513 0.000 0.000
2.257 3.909 0.000
2.257 1.303 3.685
Sb Mn Pt Ru
1 1 1 1
direct
0.500 0.500 0.500 Sb
0.000 0.000 0.000 Mn
0.250 0.250 0.250 Pt
0.750 0.750 0.750 Ru


[15]
TaMnRuPt PBE relaxed; raw total energy = -38.0 eV per cell; space-group type = Pmmm, No. 47; total moment = 2.40 μB per formula unit; ΔE_f = -408.1 meV/atom
1.0
-1.806 -3.067 -1.278
1.871 -2.268 2.800
-2.889 0.670 2.473
Ta Mn Ru Pt
1 1 1 1
direct
0.500 0.500 0.000 Ta
0.500 0.000 0.500 Mn
0.000 0.500 0.500 Ru
0.000 0.000 0.000 Pt


[16]
MnTc2RuPt PBE relaxed; raw total energy = -39.4 eV per cell; space-group type = P4/mmm, No. 123; total moment = 0.00 μB per formula unit; ΔE_f = 1156.8 meV/atom
1.0
-1.388 -3.438 2.262
2.943 0.857 3.110
-2.893 2.513 2.045
Ru Mn Tc Pt
1 1 2 1
direct
0.000 0.500 0.000 Ru
0.000 0.000 0.000 Mn
0.000 0.000 0.500 Tc
0.500 0.000 0.000 Tc
0.500 0.500 0.500 Pt


[17]
MnVRuPt PBE relaxed; raw total energy = -34.9 eV per cell; space-group type = Pmmm, No. 47; total moment = 1.87 μB per formula unit; ΔE_f = -322.3 meV/atom
1.0
-0.719 1.903 -3.053
3.177 -1.567 -1.725
-2.119 -2.874 -1.292
Mn V Ru Pt
1 1 1 1
direct
0.000 0.000 0.000 Mn
0.000 0.500 0.500 V
0.500 0.500 0.000 Ru
0.500 0.000 0.500 Pt


[18]
ZrMnRu2Pt PBE relaxed; raw total energy = -33.1 eV per cell; space-group type = P4/mmm, No. 123; total moment = 1.61 μB per formula unit; ΔE_f = 1840.8 meV/atom
1.0
4.698 0.000 0.000
0.000 4.452 0.000
0.000 0.000 4.698
Ru Mn Zr Pt
2 1 1 1
direct
0.000 0.000 0.500 Ru
0.500 0.000 0.000 Ru
0.000 0.500 0.000 Mn
0.000 0.000 0.000 Zr
0.500 0.500 0.500 Pt


[19]
MnPt2S4 PBE relaxed; raw total energy = -35.9 eV per cell; space-group type = I4/mmm, No. 139; energy relative to the elements, uncorrected = 0.262 eV per atom; total moment = 2.27 μB per formula unit
1.0
-3.805 2.882 -0.307
-2.459 -2.941 2.860
-1.301 2.872 5.834
S Mn Pt
4 1 2
direct
0.194 0.194 0.613 S
0.806 0.806 0.387 S
0.000 0.500 0.000 S
0.500 0.000 0.000 S
0.000 0.000 0.000 Mn
0.387 0.387 0.227 Pt
0.613 0.613 0.773 Pt


[20]
MnPtS PBE relaxed; energy above the most stable polymorph in this dataset = 0.153 eV/atom; raw total energy = -39.4 eV per cell; space-group type = Amm2, No. 38; energy relative to the elements, uncorrected = -0.121 eV per atom; total moment = 3.53 μB per formula unit
1.0
3.137 0.000 0.000
0.000 3.354 0.000
0.000 0.000 8.622
S Mn Pt
2 2 2
direct
0.000 0.000 0.692 S
0.000 0.500 0.192 S
0.500 0.000 0.099 Mn
0.500 0.500 0.599 Mn
0.000 0.000 0.406 Pt
0.000 0.500 0.906 Pt


[21]
MnPtS PBE relaxed; energy above the most stable polymorph in this dataset = 0.073 eV/atom; raw total energy = -19.9 eV per cell; space-group type = P4mm, No. 99; energy relative to the elements, uncorrected = -0.201 eV per atom; total moment = 2.84 μB per formula unit
1.0
2.905 0.000 0.000
0.000 2.905 0.000
0.000 0.000 5.328
S Mn Pt
1 1 1
direct
0.500 0.500 0.390 S
0.000 0.000 0.171 Mn
0.500 0.500 0.832 Pt


[22]
MnPtS PBE relaxed; energy above the most stable polymorph in this dataset = 0.000 eV/atom; raw total energy = -60.5 eV per cell; space-group type = R3m, No. 160; energy relative to the elements, uncorrected = -0.274 eV per atom; total moment = 2.93 μB per formula unit
1.0
-0.449 1.530 2.562
1.241 -2.749 0.083
15.764 7.073 -1.463
S Mn Pt
3 3 3
direct
0.000 0.000 0.136 S
0.333 0.667 0.802 S
0.667 0.333 0.469 S
0.000 0.000 0.721 Mn
0.333 0.667 0.388 Mn
0.667 0.333 0.055 Mn
0.000 0.000 0.274 Pt
0.333 0.667 0.941 Pt
0.667 0.333 0.607 Pt


[23]
Mn2PtS PBE relaxed; raw total energy = -55.8 eV per cell; space-group type = I-42d, No. 122; energy relative to the elements, uncorrected = 0.156 eV per atom; total moment = 0.00 μB per formula unit
1.0
-2.528 5.303 2.848
-0.504 -3.265 5.631
0.754 1.761 4.873
S Mn Pt
2 4 2
direct
0.500 0.500 0.000 S
0.250 0.750 0.500 S
0.562 0.125 0.250 Mn
0.188 0.625 0.250 Mn
0.375 0.438 0.750 Mn
0.875 0.812 0.750 Mn
0.000 0.000 0.000 Pt
0.750 0.250 0.500 Pt


[24]
MnPt2S PBE relaxed; raw total energy = -46.6 eV per cell; space-group type = I-42d, No. 122; energy relative to the elements, uncorrected = 0.516 eV per atom; total moment = 0.00 μB per formula unit
1.0
-0.706 5.828 0.105
-2.628 -0.412 5.234
2.226 3.143 4.658
S Mn Pt
2 2 4
direct
0.500 0.500 0.000 S
0.250 0.750 0.500 S
0.000 0.000 0.000 Mn
0.750 0.250 0.500 Mn
0.631 0.125 0.250 Pt
0.119 0.625 0.250 Pt
0.375 0.369 0.750 Pt
0.875 0.881 0.750 Pt


[25]
MnPtS PBE relaxed; energy above the most stable polymorph in this dataset = 0.019 eV/atom; raw total energy = -20.1 eV per cell; space-group type = P3m1, No. 156; energy relative to the elements, uncorrected = -0.255 eV per atom; total moment = 1.95 μB per formula unit
1.0
2.904 0.000 0.000
-1.452 2.515 0.000
0.000 0.000 5.930
S Mn Pt
1 1 1
direct
0.667 0.333 0.593 S
0.000 0.000 0.829 Mn
0.667 0.333 0.185 Pt


[26]
MnSi2PtS PBE relaxed; raw total energy = -24.2 eV per cell; space-group type = P4/mmm, No. 123; energy relative to the elements, uncorrected = 1.192 eV per atom; total moment = 0.24 μB per formula unit
1.0
-3.318 -3.105 0.322
3.302 -3.658 -1.250
0.995 -0.607 4.405
S Mn Si Pt
1 1 2 1
direct
0.000 0.500 0.000 S
0.500 0.500 0.500 Mn
0.000 0.000 0.500 Si
0.500 0.000 0.000 Si
0.000 0.000 0.000 Pt


[27]
Mn2TcPtS PBE relaxed; raw total energy = -32.4 eV per cell; space-group type = P4/mmm, No. 123; energy relative to the elements, uncorrected = 1.299 eV per atom; total moment = 6.76 μB per formula unit
1.0
-2.965 2.934 -2.081
1.678 -1.348 -4.292
-3.207 -3.377 -0.192
S Mn Tc Pt
1 2 1 1
direct
0.500 0.500 0.500 S
0.000 0.000 0.500 Mn
0.500 0.000 0.000 Mn
0.000 0.000 0.000 Tc
0.000 0.500 0.000 Pt


[28]
Mn2SbPt PBE relaxed; raw total energy = -27.9 eV per cell; space-group type = R-3m, No. 166; energy relative to the elements, uncorrected = 0.156 eV per atom; total moment = 7.85 μB per formula unit
1.0
-7.560 -1.228 2.772
-7.105 -3.873 0.936
-5.995 -3.805 3.992
Mn Pt Sb
2 1 1
direct
0.994 0.994 0.994 Mn
0.506 0.506 0.506 Mn
0.250 0.250 0.250 Pt
0.750 0.750 0.750 Sb